The following is a DFT calculation (meta-GGA SCAN) of LiCd2Cu at its PBEsol-relaxed geometry.

Summary:
- Density of states at the Fermi level: 0.95 states/eV/f.u.
- Total magnetic moment: 0.00 μB/atom

Cell: 4.5244 4.5244 4.5244 Å, 60.00 60.00 60.00°
Element x y z (fractional)
Li: 0.0000 0.0000 0.0000
Cd: 0.2500 0.2500 0.2500
Cd: 0.5000 0.5000 0.5000
Cu: 0.7500 0.7500 0.7500

The following is a DFT calculation (meta-GGA SCAN) of LiCd2Cu at its PBEsol-relaxed geometry.

Summary:
- Density of states at the Fermi level: 0.88 states/eV/f.u.
- Total magnetic moment: 0.00 μB/atom

Cell: 3.1605 3.1605 6.4513 Å, 90.00 90.00 90.00°
Element x y z (fractional)
Li: 0.0000 0.0000 0.0000
Cd: 0.0000 0.0000 0.5668
Cd: 0.5000 0.5000 0.2473
Cu: 0.5000 0.5000 0.8057

The following is a DFT calculation (meta-GGA SCAN) of LiCdCu at its PBEsol-relaxed geometry.

Summary:
- Density of states at the Fermi level: 0.84 states/eV/f.u.
- Total magnetic moment: 0.00 μB/atom

Cell: 4.8089 4.8089 4.8089 Å, 145.80 133.87 58.66°
Element x y z (fractional)
Li: 0.0000 0.0000 0.0000
Cd: 0.6767 0.6767 0.0000
Cu: 0.3451 0.3451 0.0000

The following is a DFT calculation (meta-GGA SCAN) of LiCdCu2 at its PBEsol-relaxed geometry.

Summary:
- Density of states at the Fermi level: 1.22 states/eV/f.u.
- Total magnetic moment: 0.00 μB/atom

Cell: 3.0221 3.0221 6.0770 Å, 90.00 90.00 90.00°
Element x y z (fractional)
Li: 0.0000 0.0000 0.0000
Cd: 0.5000 0.5000 0.2896
Cu: 0.0000 0.0000 0.5682
Cu: 0.5000 0.5000 0.7705

Record-wise energy relative to the elements values, in meV/atom: -72.8, -74.2, -76.4, -20.8